GGA-PBE Ta4Cl, relaxed; distance to the lowest polymorph of the same formula = 0.0000 eV/atom; crystal system = tetragonal
1.0
-3.7700 3.7700 1.6299
3.7700 -3.7700 1.6299
3.7700 3.7700 -1.6299
Ta Cl
4 1
Direct
0.0732 0.3043 0.3775 Ta
0.3043 0.9268 0.2311 Ta
0.6957 0.0732 0.7689 Ta
0.9268 0.6957 0.6225 Ta
0.5000 0.5000 0.0000 Cl